Entry from Alexandria: Dy3Tm2Sc2 after structural relaxation (PBE-GGA).

Its total energy is -70.28 eV per cell. Its calculated density is 7.45 g/cm3. The offset from the most stable computed form comes out at 0 meV per atom.

The structure belongs to space group Cmmm (No. 65); the cell edges are 5.159, 23.146 and 3.419 Å and the angles 90.00°, 90.00° and 90.00°. The inequivalent atoms are Dy at (0.000, 0.000, 0.000), Dy at (0.000, 0.156, 0.000), Tm at (0.000, 0.426, 0.500) and Sc at (0.000, 0.284, 0.500).



Entry from Alexandria: Tc2Ni after structural relaxation (PBE-GGA).

Its total energy is -52.38 eV per cell. Its calculated density is 10.52 g/cm3. The offset from the most stable computed form comes out at 179 meV per atom.

The structure belongs to space group P6_3/mmc (No. 194); the cell edges are 4.1965, 4.1965 and 5.2715 Å and the angles 90.00°, 90.00° and 120.00°. The inequivalent atoms are Tc at (0.0000, 0.0000, 0.0000), Tc at (0.3333, 0.6667, 0.2500) and Ni at (0.3333, 0.6667, 0.7500).



Entry from Alexandria: Ta2CoPt after structural relaxation (PBE-GGA).

Its total energy is -38.35 eV per cell. Its calculated density is 16.27 g/cm3.

The structure belongs to space group P4mm (No. 99); the cell edges are 3.242, 3.242 and 5.984 Å and the angles 90.00°, 90.00° and 90.00°. The inequivalent atoms are Ta at (0.000, 0.000, 0.000), Ta at (0.500, 0.500, 0.302), Co at (0.000, 0.000, 0.493) and Pt at (0.500, 0.500, 0.761).



Entry from Alexandria: TmIn3Hg after structural relaxation (PBE-GGA).

Its total energy is -53.19 eV per cell. Its calculated density is 8.14 g/cm3.

The structure belongs to space group Cmcm (No. 63); the cell edges are 9.514, 10.832 and 5.651 Å and the angles 90.00°, 90.00° and 90.00°. The inequivalent atoms are Tm at (0.000, 0.227, 0.250), In at (0.000, 0.500, 0.000), In at (0.175, 0.298, 0.750) and Hg at (0.000, 0.057, 0.750).



Entry from Alexandria: La3Bi2Te after structural relaxation (PBE-GGA).

For the formation energy from raw total energies, the calculation gives -1.2588 eV/atom. Its total energy is -132.95 eV per cell. Its calculated density is 7.42 g/cm3.

The structure belongs to space group P2_1/c (No. 14); the cell edges are 6.605, 13.998 and 9.321 Å and the angles 90.00°, 90.00° and 90.00°. The inequivalent atoms are La at (0.249, 0.084, 0.125), La at (0.250, 0.083, 0.625), La at (0.251, 0.749, 0.125), Bi at (0.249, 0.250, 0.375), Bi at (0.250, 0.583, 0.874) and Te at (0.251, 0.584, 0.376).



Entry from Alexandria: HfZrCr after structural relaxation (PBE-GGA).

Its total energy is -442.13 eV per cell. Its calculated density is 9.27 g/cm3. The offset from the most stable computed form comes out at 16 meV per atom.

The structure belongs to space group Fddd (No. 70, origin choice 2); the cell edges are 5.239, 9.490 and 18.541 Å and the angles 90.00°, 90.00° and 90.00°. The inequivalent atoms are Hf at (0.125, 0.288, 0.125), Zr at (0.125, 0.125, 0.540) and Cr at (0.125, 0.125, 0.251).



Entry from Alexandria: Na2GaS2 after structural relaxation (PBE-GGA).

For the formation energy from raw total energies, the calculation gives -0.8226 eV/atom. Its total energy is -72.13 eV per cell. Its calculated density is 2.65 g/cm3.

The structure belongs to space group Cmc2_1 (No. 36); the cell edges are 4.614, 14.885 and 6.560 Å and the angles 90.00°, 90.00° and 90.00°. The inequivalent atoms are Na at (0.000, 0.024, 0.000), Na at (0.000, 0.205, 0.297), Ga at (0.000, 0.402, 0.153), S at (0.000, 0.154, 0.707) and S at (0.000, 0.440, 0.779).



Entry from Alexandria: Ti2Tc2Pt after structural relaxation (PBE-GGA).

Its total energy is -87.21 eV per cell. Its calculated density is 10.17 g/cm3.

The structure belongs to space group P4/mbm (No. 127); the cell edges are 7.164, 7.164 and 3.096 Å and the angles 90.00°, 90.00° and 90.00°. The inequivalent atoms are Ti at (0.193, 0.307, 0.000), Tc at (0.117, 0.617, 0.500) and Pt at (0.000, 0.000, 0.500).



Entry from Alexandria: LiDy5Mg4 after structural relaxation (PBE-GGA).

Its total energy is -31.65 eV per cell. Its calculated density is 5.67 g/cm3.

The structure belongs to space group P4/mmm (No. 123); the cell edges are 3.777, 3.777 and 18.822 Å and the angles 90.00°, 90.00° and 90.00°. The inequivalent atoms are Li at (0.000, 0.000, 0.000), Dy at (0.500, 0.500, 0.100), Dy at (0.500, 0.500, 0.299), Dy at (0.500, 0.500, 0.500), Mg at (0.000, 0.000, 0.199) and Mg at (0.000, 0.000, 0.399).



Entry from Alexandria: CeFeSi2Os after structural relaxation (PBE-GGA).

For the formation energy from raw total energies, the calculation gives -0.6721 eV/atom. Its total energy is -79.67 eV per cell. Its calculated density is 8.99 g/cm3.

The structure belongs to space group I-4m2 (No. 119); the cell edges are 4.099, 4.099 and 9.727 Å and the angles 90.00°, 90.00° and 90.00°. The inequivalent atoms are Ce at (0.000, 0.000, 0.000), Fe at (0.000, 0.500, 0.250), Si at (0.000, 0.000, 0.369) and Os at (0.000, 0.500, 0.750).



Entry from Alexandria: Sr2Sb3Pt4Rh after structural relaxation (PBE-GGA).

For the formation energy from raw total energies, the calculation gives -0.6550 eV/atom. Its total energy is -53.80 eV per cell. Its calculated density is 10.40 g/cm3.

The structure belongs to space group P-4m2 (No. 115); the cell edges are 4.617, 4.617 and 10.662 Å and the angles 90.00°, 90.00° and 90.00°. The inequivalent atoms are Sr at (0.000, 0.500, 0.245), Sb at (0.000, 0.000, 0.000), Sb at (0.000, 0.500, 0.629), Pt at (0.000, 0.000, 0.500), Pt at (0.000, 0.500, 0.874), Pt at (0.500, 0.500, 0.500) and Rh at (0.500, 0.500, 0.000).



Entry from Alexandria: Rb2WAuSe4 after structural relaxation (PBE-GGA).

For the formation energy from raw total energies, the calculation gives -0.6148 eV/atom. Its total energy is -296.18 eV per cell. Its calculated density is 5.49 g/cm3.

The structure belongs to space group Fddd (No. 70, origin choice 2); the cell edges are 5.879, 14.508 and 24.621 Å and the angles 90.00°, 90.00° and 90.00°. The inequivalent atoms are Rb at (0.125, 0.125, 0.306), W at (0.125, 0.125, 0.625), Au at (0.125, 0.125, 0.125) and Se at (0.093, 0.275, 0.816).



Q: Look up the calculated density of the second one.
A: 10.52 g/cm3